Record 1
A geometry-optimized ZnInGa structure. Source: the Alexandria database, functional PBE-GGA.

The structure belongs to space group P1 (No. 1); the cell edges are 3.274, 4.610 and 8.407 Å and the angles 76.98°, 89.93° and 89.78°. Symmetry generates all atoms from Zn at (0.000, 0.000, 0.000), Zn at (0.498, 0.883, 0.764), In at (0.006, 0.822, 0.355), In at (0.502, 0.455, 0.100), Ga at (0.000, 0.427, 0.725) and Ga at (0.506, 0.268, 0.476).

Record 2
A geometry-optimized NbNi2Ge2 structure. Source: the Alexandria database, functional PBE-GGA.

The structure belongs to space group P4/mbm (No. 127); the cell edges are 7.083, 7.083 and 2.780 Å and the angles 90.00°, 90.00° and 90.00°. Symmetry generates all atoms from Nb at (0.000, 0.000, 0.000), Ni at (0.144, 0.356, 0.500) and Ge at (0.149, 0.649, 0.000).

Record 3
A geometry-optimized Nb2NiPd8 structure. Source: the Alexandria database, functional PBE-GGA.

The structure belongs to space group C2/m (No. 12); the cell edges are 12.538, 6.143 and 4.958 Å and the angles 90.00°, 107.61° and 90.00°. Symmetry generates all atoms from Nb at (0.138, 0.000, 0.484), Ni at (0.000, 0.000, 0.000), Pd at (0.069, 0.288, 0.766), Pd at (0.145, 0.500, 0.327) and Pd at (0.228, 0.000, 0.077).

Its energy relative to the lowest polymorph listed for this composition is 0.180 eV per atom.

Record 4
A geometry-optimized Nd6SmHo2Th structure. Source: the Alexandria database, functional PBE-GGA.

The structure belongs to space group C2/c (No. 15); the cell edges are 9.385, 15.064 and 9.816 Å and the angles 90.00°, 98.23° and 90.00°. Symmetry generates all atoms from Nd at (0.067, 0.175, 0.442), Nd at (0.095, 0.394, 0.619), Nd at (0.206, 0.219, 0.814), Sm at (0.000, 0.406, 0.250), Ho at (0.242, 0.045, 0.051) and Th at (0.000, 0.030, 0.750).

Record 5
A geometry-optimized Tm4ZnAu structure. Source: the Alexandria database, functional PBE-GGA.

The structure belongs to space group P4/mmm (No. 123); the cell edges are 4.874, 4.874 and 6.946 Å and the angles 90.00°, 90.00° and 90.00°. Symmetry generates all atoms from Tm at (0.000, 0.500, 0.249), Zn at (0.000, 0.000, 0.000) and Au at (0.500, 0.500, 0.500).

Record 6
A geometry-optimized BaCrTc structure. Source: the Alexandria database, functional PBE-GGA.

The structure belongs to space group F-43m (No. 216); the cell edges are 7.077, 7.077 and 7.077 Å and the angles 90.00°, 90.00° and 90.00°. Symmetry generates all atoms from Ba at (0.000, 0.000, 0.000), Cr at (0.250, 0.250, 0.750) and Tc at (0.250, 0.250, 0.250).

Its energy relative to the lowest polymorph listed for this composition is 1.314 eV per atom.

In eV/atom, the ΔE_f values for the records above are, in order, 0.056 -0.242 -0.006 0.142 -0.243 2.036.